(1)
The following is a DFT calculation (PBE) of a relaxed NaSrNpO6 crystal.

abc: 5.7754 5.7754 5.1193
angles: 90.00 90.00 120.00
Element x y z (fractional)
Na 0.0000 0.0000 0.0000
Sr 0.6667 0.3333 0.5000
Np 0.3333 0.6667 0.0000
O 0.0522 0.3852 0.2143
O 0.0522 0.6670 0.7857
O 0.3330 0.3852 0.7857
O 0.3330 0.9478 0.2143
O 0.6148 0.6670 0.2143
O 0.6148 0.9478 0.7857

Values from the calculation:
Energy relative to the elements, uncorrected in meV/atom: -2081
Total DFT energy (no corrections) in eV per atom: -7.16

***

(2)
The following is a DFT calculation (PBE) of a relaxed Mg2CuSe2 crystal.

abc: 7.4079 7.4079 3.5788
angles: 90.00 90.00 90.00
Element x y z (fractional)
Mg 0.1471 0.3529 0.0000
Mg 0.3529 0.8529 0.0000
Mg 0.6471 0.1471 0.0000
Mg 0.8529 0.6471 0.0000
Cu 0.0000 0.0000 0.0000
Cu 0.5000 0.5000 0.0000
Se 0.1627 0.6627 0.5000
Se 0.3373 0.1627 0.5000
Se 0.6627 0.8373 0.5000
Se 0.8373 0.3373 0.5000

Values from the calculation:
Energy relative to the elements, uncorrected in meV/atom: -383
Total DFT energy (no corrections) in eV per atom: -3.23

***

(3)
The following is a DFT calculation (PBE) of a relaxed Hf2NbTc4 crystal.

abc: 5.4896 5.4896 5.4896
angles: 109.92 109.92 108.59
Element x y z (fractional)
Hf 0.0000 0.5000 0.5000
Hf 0.5000 0.0000 0.5000
Nb 0.0000 0.0000 0.0000
Tc 0.0000 0.0000 0.5000
Tc 0.0000 0.5000 0.0000
Tc 0.5000 0.0000 0.0000
Tc 0.5000 0.5000 0.5000

Values from the calculation:
DFT formation energy in eV per atom: 0.214
Total DFT energy (no corrections) in eV per atom: -9.99

***

(4)
The following is a DFT calculation (PBE) of a relaxed B2As2Se crystal.

abc: 5.0004 5.0004 5.0004
angles: 130.60 130.60 72.45
Element x y z (fractional)
B 0.1082 0.1082 0.0000
B 0.8918 0.8918 0.0000
As 0.2500 0.7500 0.5000
As 0.7500 0.2500 0.5000
Se 0.5000 0.5000 0.0000

Values from the calculation:
Energy relative to the elements, uncorrected in meV/atom: 787
Total DFT energy (no corrections) in eV per atom: -4.44

***

(5)
The following is a DFT calculation (PBE) of a relaxed Pr2S2Cl crystal.

abc: 7.1616 7.1616 7.1616
angles: 145.98 133.31 59.01
Element x y z (fractional)
Pr 0.1750 0.1750 0.0000
Pr 0.8250 0.8250 0.0000
S 0.3254 0.8254 0.5000
S 0.6746 0.1746 0.5000
Cl 0.0000 0.5000 0.5000

Values from the calculation:
Energy relative to the elements, uncorrected in meV/atom: -1960
Total DFT energy (no corrections) in eV per atom: -5.89

***

(6)
The following is a DFT calculation (PBE) of a relaxed Ac2SmC2N6 crystal.

abc: 5.6008 5.6008 6.7660
angles: 117.32 117.32 58.25
Element x y z (fractional)
Ac 0.2114 0.2114 0.1943
Ac 0.7886 0.7886 0.8057
Sm 0.0000 0.0000 0.5000
C 0.4460 0.4460 0.7518
C 0.5540 0.5540 0.2482
N 0.2546 0.6882 0.2084
N 0.2846 0.2846 0.6637
N 0.3118 0.7454 0.7916
N 0.6882 0.2546 0.2084
N 0.7154 0.7154 0.3363
N 0.7454 0.3118 0.7916

Values from the calculation:
Energy relative to the elements, uncorrected in meV/atom: -768
Total DFT energy (no corrections) in eV per atom: -8.16